1.
K2HPdRu: optimized geometry, PBE.

Lattice parameters (Å, degrees): 6.294 6.294 3.221 90.00 90.00 90.00
Sites, in units of the cell vectors:
K (0.000, 0.500, 0.000)
K (0.500, 0.000, 0.000)
H (0.000, 0.000, 0.500)
Pd (0.000, 0.000, 0.000)
Ru (0.500, 0.500, 0.500)

Values from the calculation:
For the volume, the calculation gives 25.52 Å³ per atom.

2.
K2HPdSe2: optimized geometry, PBE.

Lattice parameters (Å, degrees): 8.336 8.336 8.336 110.83 86.12 135.40
Sites, in units of the cell vectors:
K (0.113, 0.155, 0.268)
K (0.387, 0.655, 0.043)
K (0.613, 0.345, 0.957)
K (0.887, 0.845, 0.732)
H (0.250, 0.250, 0.000)
H (0.750, 0.750, 0.000)
Pd (0.250, 0.750, 0.500)
Pd (0.750, 0.250, 0.500)
Se (0.110, 0.640, 0.750)
Se (0.390, 0.140, 0.531)
Se (0.610, 0.860, 0.469)
Se (0.890, 0.360, 0.250)

Values from the calculation:
For the volume, the calculation gives 30.38 Å³ per atom.

3.
KSrH4Pd: optimized geometry, PBE.

Lattice parameters (Å, degrees): 7.978 7.978 5.110 90.00 90.00 141.81
Sites, in units of the cell vectors:
K (0.098, 0.902, 0.750)
K (0.902, 0.098, 0.250)
Sr (0.385, 0.615, 0.750)
Sr (0.615, 0.385, 0.250)
H (0.000, 0.500, 0.000)
H (0.000, 0.500, 0.500)
H (0.103, 0.897, 0.250)
H (0.450, 0.550, 0.250)
H (0.500, 0.000, 0.000)
H (0.500, 0.000, 0.500)
H (0.550, 0.450, 0.750)
H (0.897, 0.103, 0.750)
Pd (0.236, 0.764, 0.250)
Pd (0.764, 0.236, 0.750)

Values from the calculation:
For the volume, the calculation gives 14.36 Å³ per atom.

4.
K2Tl2H4Pd: optimized geometry, PBE.

Lattice parameters (Å, degrees): 6.297 6.297 6.297 116.15 116.15 96.81
Sites, in units of the cell vectors:
K (0.250, 0.750, 0.500)
K (0.750, 0.250, 0.500)
Tl (0.171, 0.171, 0.000)
Tl (0.829, 0.829, 0.000)
H (0.317, 0.317, 0.634)
H (0.317, 0.683, 0.000)
H (0.683, 0.317, 0.000)
H (0.683, 0.683, 0.366)
Pd (0.500, 0.500, 0.000)

Values from the calculation:
For the volume, the calculation gives 20.60 Å³ per atom.

5.
KTlH4Pd2: optimized geometry, PBE.

Lattice parameters (Å, degrees): 3.509 3.509 9.157 90.00 90.00 90.00
Sites, in units of the cell vectors:
K (0.000, 0.000, 0.000)
Tl (0.000, 0.000, 0.500)
H (0.000, 0.500, 0.237)
H (0.000, 0.500, 0.763)
H (0.500, 0.000, 0.237)
H (0.500, 0.000, 0.763)
Pd (0.500, 0.500, 0.261)
Pd (0.500, 0.500, 0.739)

Values from the calculation:
For the volume, the calculation gives 14.09 Å³ per atom.

6.
KTlH2Pd: optimized geometry, PBE.

Lattice parameters (Å, degrees): 6.536 6.536 7.518 90.00 90.00 143.05
Sites, in units of the cell vectors:
K (0.229, 0.771, 0.750)
K (0.771, 0.229, 0.250)
Tl (0.036, 0.964, 0.250)
Tl (0.964, 0.036, 0.750)
H (0.366, 0.634, 0.041)
H (0.366, 0.634, 0.459)
H (0.634, 0.366, 0.541)
H (0.634, 0.366, 0.959)
Pd (0.500, 0.500, 0.000)
Pd (0.500, 0.500, 0.500)

Values from the calculation:
For the volume, the calculation gives 19.31 Å³ per atom.

7.
KTlH4Pd: optimized geometry, PBE.

Lattice parameters (Å, degrees): 7.460 7.460 5.329 90.00 90.00 138.50
Sites, in units of the cell vectors:
K (0.097, 0.903, 0.750)
K (0.903, 0.097, 0.250)
Tl (0.389, 0.611, 0.750)
Tl (0.611, 0.389, 0.250)
H (0.000, 0.500, 0.000)
H (0.000, 0.500, 0.500)
H (0.125, 0.875, 0.250)
H (0.368, 0.632, 0.250)
H (0.500, 0.000, 0.000)
H (0.500, 0.000, 0.500)
H (0.632, 0.368, 0.750)
H (0.875, 0.125, 0.750)
Pd (0.248, 0.752, 0.250)
Pd (0.752, 0.248, 0.750)

Values from the calculation:
For the volume, the calculation gives 14.04 Å³ per atom.

8.
KTlH2Pd2: optimized geometry, PBE.

Lattice parameters (Å, degrees): 5.724 5.577 8.163 90.00 98.35 90.00
Sites, in units of the cell vectors:
K (0.221, 0.250, 0.391)
K (0.779, 0.750, 0.609)
Tl (0.310, 0.750, 0.072)
Tl (0.690, 0.250, 0.928)
H (0.108, 0.250, 0.802)
H (0.336, 0.750, 0.658)
H (0.664, 0.250, 0.342)
H (0.892, 0.750, 0.198)
Pd (0.281, 0.002, 0.772)
Pd (0.281, 0.498, 0.772)
Pd (0.719, 0.502, 0.228)
Pd (0.719, 0.998, 0.228)

Values from the calculation:
For the volume, the calculation gives 21.49 Å³ per atom.

9.
KZnH6Pd: optimized geometry, PBE.

Lattice parameters (Å, degrees): 4.745 4.745 5.284 90.00 90.00 120.00
Sites, in units of the cell vectors:
K (0.000, 0.000, 0.000)
Zn (0.333, 0.667, 0.500)
H (0.447, 0.014, 0.705)
H (0.447, 0.433, 0.295)
H (0.567, 0.014, 0.295)
H (0.567, 0.553, 0.705)
H (0.986, 0.433, 0.705)
H (0.986, 0.553, 0.295)
Pd (0.667, 0.333, 0.500)

Values from the calculation:
For the volume, the calculation gives 11.45 Å³ per atom.

10.
K2ZnH6Pd: optimized geometry, PBE.

Lattice parameters (Å, degrees): 5.479 5.472 5.456 60.18 60.05 59.77
Sites, in units of the cell vectors:
K (0.250, 0.250, 0.250)
K (0.750, 0.750, 0.750)
Zn (0.000, 0.000, 0.000)
H (0.269, 0.731, 0.269)
H (0.270, 0.730, 0.730)
H (0.272, 0.272, 0.728)
H (0.728, 0.728, 0.272)
H (0.730, 0.270, 0.270)
H (0.731, 0.269, 0.731)
Pd (0.500, 0.500, 0.500)

Values from the calculation:
For the volume, the calculation gives 11.57 Å³ per atom.

11.
K2PmH4: optimized geometry, PBE.

Lattice parameters (Å, degrees): 7.915 7.915 7.915 147.37 147.37 46.82
Sites, in units of the cell vectors:
K (0.156, 0.156, 0.000)
K (0.844, 0.844, 0.000)
Pm (0.500, 0.500, 0.000)
H (0.000, 0.500, 0.500)
H (0.340, 0.340, 0.000)
H (0.500, 0.000, 0.500)
H (0.660, 0.660, 0.000)

Values from the calculation:
For the volume, the calculation gives 20.53 Å³ per atom.

12.
KPmH: optimized geometry, PBE.

Lattice parameters (Å, degrees): 3.636 3.636 14.201 90.00 90.00 120.00
Sites, in units of the cell vectors:
K (0.000, 0.000, 0.124)
K (0.000, 0.000, 0.876)
Pm (0.667, 0.333, 0.386)
Pm (0.667, 0.333, 0.614)
H (0.000, 0.000, 0.500)
H (0.667, 0.333, 0.000)

Values from the calculation:
For the volume, the calculation gives 27.09 Å³ per atom.

no.,electronic total energy (eV/atom)
1,-3.24
2,-3.31
3,-3.41
4,-2.81
5,-3.54
6,-3.25
7,-3.24
8,-3.60
9,-3.12
10,-3.01
11,-3.13
12,-2.99